a:
Entry from Alexandria: a relaxed Cr3IrBr crystal (GGA-PBEsol).

Cell: 4.220 4.220 4.220 Å, 90.00 90.00 90.00°
Site moments in Bohr magnetons follow the coordinates.
Fractional positions:
Cr1 0.000 0.500 0.000  0.53
Cr2 0.000 0.000 0.500  0.53
Cr3 0.500 0.000 0.000  0.53
Ir1 0.500 0.500 0.500  0.20
Br1 0.000 0.000 0.000  0.01

Computed properties:
The calculation puts the magnetization at 0.371 μB/atom. Its density of states at the Fermi level is 1.744 states/eV/atom.


b:
Entry from Alexandria: a relaxed Cr3IrBr crystal (GGA-PBEsol).

Cell: 4.753 4.753 4.753 Å, 90.00 90.00 90.00°
Site moments in Bohr magnetons follow the coordinates.
Fractional positions:
Cr1 0.000 0.500 0.000  3.27
Cr2 0.000 0.000 0.500  3.27
Cr3 0.500 0.000 0.000  3.27
Ir1 0.000 0.000 0.000  -0.40
Br1 0.500 0.500 0.500  0.09

Computed properties:
The calculation puts the magnetization at 2.098 μB/atom. Its density of states at the Fermi level is 0.900 states/eV/atom.


Most stable structure, least stable structure: b, a.


a:
Entry from Alexandria: a relaxed LiCr2Br crystal (GGA-PBEsol).

Cell: 3.209 3.209 6.511 Å, 90.00 90.00 90.00°
Site moments in Bohr magnetons follow the coordinates.
Fractional positions:
Br1 0.500 0.500 0.660  -0.01
Cr1 0.000 0.000 0.085  2.91
Cr2 0.500 0.500 0.243  -2.83
Li1 0.000 0.000 0.512  0.00

Computed properties:
The calculation puts the magnetization at 0.005 μB/atom. Its density of states at the Fermi level is 0.136 states/eV/atom.


b:
Entry from Alexandria: a relaxed LiCr2Br crystal (GGA-PBEsol).

Cell: 3.349 3.349 10.407 Å, 99.26 99.26 90.00°
Fractional positions:
Cr1 0.338 0.875 0.250
Cr2 0.912 0.375 0.250
Cr3 0.125 0.088 0.750
Cr4 0.625 0.662 0.750
Br1 0.250 0.750 0.500
Br2 0.000 0.000 0.000
Li1 0.750 0.250 0.500
Li2 0.500 0.500 0.000

Computed properties:
The calculation puts the magnetization at 0.000 μB/atom. Its density of states at the Fermi level is 0.919 states/eV/atom.


Most stable structure, least stable structure: a, b.


a:
Entry from Alexandria: a relaxed CrBrN2 crystal (GGA-PBEsol).

Cell: 2.980 2.980 6.315 Å, 76.35 76.35 60.00°
Site moments in Bohr magnetons follow the coordinates.
Fractional positions:
Cr1 0.500 0.500 0.500  1.77
Br1 0.000 0.000 0.000  0.03
N1 0.887 0.887 0.338  -0.16
N2 0.113 0.113 0.662  -0.16

Computed properties:
The calculation puts the magnetization at 0.371 μB/atom. Its density of states at the Fermi level is 0.718 states/eV/atom.


b:
Entry from Alexandria: a relaxed CrBrN2 crystal (GGA-PBEsol).

Cell: 5.608 5.608 5.608 Å, 60.00 60.00 60.00°
Site moments in Bohr magnetons follow the coordinates.
Fractional positions:
Cr1 0.500 0.500 0.500  -0.18
Cr2 0.750 0.750 0.750  -0.18
Br1 0.000 0.000 0.000  0.54
Br2 0.250 0.250 0.250  0.54
N1 0.625 0.125 0.625  0.13
N2 0.125 0.625 0.625  0.13
N3 0.625 0.625 0.125  0.13
N4 0.625 0.625 0.625  0.13

Computed properties:
The calculation puts the magnetization at 0.217 μB/atom. Its density of states at the Fermi level is 0.570 states/eV/atom.


Most stable structure, least stable structure: b, a.